A relaxed structure of CuAu2I8. Source: Alexandria via LeMat-Bulk, functional GGA-PBE.

Computed properties:
* offset from the most stable computed form: 0.0 kJ per mole of atoms
* formation energy from raw total energies: 32 meV per atom
* uncorrected energy: -2.0632 eV/atom
* M_tot: 0.0 μB/cell
* symmetry: C2/m (12)

Cell lengths 10.1916, 10.2925, 7.7027 Å; angles 112.91, 90.00, 119.68 degrees
Sites, in units of the cell vectors:
Au 0.7712 0.5425 0.5579
I 0.0497 0.7404 0.8228
I 0.6449 0.2898 0.2136
Au 0.2288 0.4575 0.4421
I 0.3093 0.2596 0.1772
I 0.9503 0.2596 0.1772
Cu 0.0000 0.0000 0.0000
I 0.6907 0.7404 0.8228
I 0.9486 0.8973 0.2987
I 0.3551 0.7102 0.7864
I 0.0514 0.1027 0.7013